# Sr4MnF10

A relaxed structure of Sr4MnF10 (PBE+U, Alexandria via LeMat-Bulk).

Values from the calculation:
- crystal system = tetragonal
- D(E_F) (states/eV per atom) = 0.000
- M_tot (Bohr magnetons per cell) = 10.000
- V (Å³ per cell) = 473
- energy (eV per atom) = -5.858

a b c (Å): 9.068 9.068 5.747
angles (deg): 90.00 90.00 90.00
Space group I4/m (No. 87)
Symmetry-distinct sites (fractional):
Sr 0.101 0.703 0.000 x8
Mn 0.000 0.000 0.500 x2
F 0.000 0.500 0.250 x4
F 0.096 0.190 0.263 x16